## CaTi2Hg (PBE)

Data for CaTi2Hg after structural relaxation.

Summary:
ρ: 5.753 g cm⁻³
Uncorrected energy: -4.05 eV/atom
Space group: I-42d

abc: 11.164 11.164 11.164
angles: 158.05 158.05 31.23
Positions (direct):
Ca 0.000 0.000 0.000
Ca 0.750 0.250 0.500
Ti 0.255 0.625 0.130
Ti 0.375 0.505 0.630
Ti 0.495 0.125 0.870
Ti 0.875 0.745 0.370
Hg 0.250 0.750 0.500
Hg 0.500 0.500 0.000

## CaTi3Hg (PBE)

Data for CaTi3Hg after structural relaxation.

Summary:
ρ: 4.733 g cm⁻³
Uncorrected energy: -4.29 eV/atom
Space group: Pm-3m
Energy relative to the lowest polymorph listed for this composition: 0 meV per atom

abc: 5.128 5.128 5.128
angles: 90.00 90.00 90.00
Positions (direct):
Ca 0.000 0.000 0.000
Ti 0.000 0.500 0.500
Ti 0.500 0.000 0.500
Ti 0.500 0.500 0.000
Hg 0.500 0.500 0.500